Ho2Al9Ni3 | Alexandria via LeMat-Bulk | GGA-PBE | relaxed; symmetry = C2/c (15); E_tot = -4.861 eV per atom
1.0
1.1415 0.6364 -7.3456
5.4209 -2.5508 4.4466
-5.6409 -8.2546 2.1911
Ni Al Ho
6 18 4
Direct
0.1711 0.3408 0.0005
0.8289 0.6592 0.9995
0.5000 0.0000 0.0000
0.5000 0.5000 0.5000
0.1596 0.8294 0.5005
0.8404 0.1706 0.4995
0.5454 0.0816 0.2520
0.2124 0.6891 0.0692
0.7876 0.3109 0.9308
0.4499 0.6407 0.9290
0.1200 0.1432 0.4308
0.2117 0.5209 0.5710
0.6704 0.7065 0.7520
0.7883 0.4791 0.4290
0.5501 0.3593 0.0710
0.8641 0.0154 0.0503
0.8800 0.8568 0.5692
0.3296 0.2935 0.2480
0.8830 0.1330 0.7500
0.1359 0.9846 0.9497
0.1170 0.8670 0.2500
0.5349 0.1862 0.5503
0.4651 0.8138 0.4497
0.4546 0.9184 0.7480
0.0033 0.4144 0.2499
0.6645 0.7534 0.2501
0.9967 0.5856 0.7501
0.3355 0.2466 0.7499

=====

HoAl7Ni5 | Alexandria via LeMat-Bulk | GGA-PBE | relaxed; symmetry = Imm2 (44); E_tot = -5.184 eV per atom
1.0
4.6175 0.0000 1.8964
2.3354 6.0540 0.8835
0.0088 -0.0504 6.5485
Ni Al Ho
5 7 1
Direct
0.7288 0.7712 0.7712
0.0039 0.0074 0.4888
0.4999 0.4888 0.0074
0.0039 0.4888 0.0074
0.4999 0.0074 0.4888
0.9849 0.6701 0.3602
0.3404 0.6596 0.6596
0.5113 0.7816 0.1959
0.6535 0.3465 0.3465
0.2737 0.2263 0.2263
0.5113 0.1959 0.7816
0.9849 0.3602 0.6701
0.0038 0.9962 0.9962

=====

| no. | DFT formation energy (eV/atom) |
| --- | --- |
| 1 | -0.563 |
| 2 | -0.593 |